No. 1
# SrLa2PCl

A relaxed structure of SrLa2PCl (GGA-PBE, Alexandria via LeMat-Bulk).

Output
Magnetic moment (μB/cell): 0.000
Space group: P4/mmm (123)
E_form (uncorrected) (eV per atom): -0.3194
DFT total energy (eV/cell): -20.39

Unit cell a=5.3068 b=6.2626 c=5.3068 alpha=90.00 beta=90.00 gamma=90.00
Last column: nearest neighbours and their distance in Å.
Fractional coordinates of all 5 atoms:
1 Cl 0.0000 0.0000 0.0000  4 La 2.65
2 La 0.0000 0.0000 0.5000  2 Cl 2.65
3 La 0.5000 0.0000 0.0000  2 Cl 2.65
4 P 0.0000 0.5000 0.0000  2 Cl 3.13
5 Sr 0.5000 0.5000 0.5000  4 P 3.75, 8 La 4.10

=====

No. 2
# Y3Al4

A relaxed structure of Y3Al4 (GGA-PBE, Alexandria via LeMat-Bulk).

Output
Offset from the most stable computed form (meV/atom): 227.9
Formation enthalpy at 0 K (eV/atom): -0.23
Magnetic moment (μB/cell): 0.464
Space group: I4/mmm (139)
DFT total energy (eV/cell): -35.94

Unit cell a=14.2093 b=14.2093 c=14.2093 alpha=166.35 beta=166.35 gamma=19.35
Last column: nearest neighbours and their distance in Å.
Fractional coordinates of all 7 atoms:
1 Al 0.1261 0.1261 0.0000  4 Al 2.78
2 Al 0.8739 0.8739 0.0000  4 Al 2.78
3 Al 0.5755 0.5755 0.0000  4 Al 2.78
4 Al 0.4245 0.4245 0.0000  4 Al 2.78
5 Y 0.3002 0.3002 0.0000  5 Al 3.16-3.48, 4 Y 3.38
6 Y 0.6998 0.6998 0.0000  5 Al 3.16-3.48, 4 Y 3.38
7 Y 0.0000 0.0000 0.0000  10 Al 3.19-3.53, 4 Y 3.38